VASP calculation (GGA+U) on a geometry-optimized MnP2O2 structure.

```
MnP2O2
1.0
-0.232 3.390 1.259
-3.304 -0.711 1.307
2.186 -1.582 4.664
P Mn O
2 1 2
Direct
0.500 0.500 0.500
0.000 0.000 0.500
0.000 0.000 0.000
0.000 0.500 0.000
0.500 0.000 0.000
```

Properties
Energy relative to the lowest polymorph listed for this composition (eV/atom): 0.4742
Space group: No. 123
Mass density (Mg/m³): 3.49
D(E_F) (states/eV/cell): 3.771

VASP calculation (GGA+U) on a geometry-optimized MnPO3 structure.

```
MnPO3
1.0
-0.977 2.496 -0.718
-1.556 -2.101 -5.188
-4.952 -2.586 3.112
Mn P O
2 2 6
Direct
0.852 0.874 0.705
0.148 0.126 0.295
0.579 0.641 0.159
0.421 0.359 0.841
0.019 0.788 0.038
0.981 0.212 0.962
0.323 0.143 0.646
0.677 0.857 0.354
0.142 0.503 0.285
0.858 0.497 0.715
```

Properties
Final energy (eV per atom): -6.9922
Space group: No. 12
Mass density (Mg/m³): 4.43

VASP calculation (GGA+U) on a geometry-optimized Mn2PO5 structure.

```
Mn2PO5
1.0
-5.444 -1.248 -2.239
3.558 -5.094 -5.813
-0.694 -6.626 5.381
Mn P O
8 4 20
Direct
0.760 0.000 0.000
0.240 0.000 0.000
0.000 0.648 0.131
0.500 0.148 0.369
0.740 0.500 0.500
0.260 0.500 0.500
0.500 0.852 0.631
0.000 0.352 0.869
0.000 0.271 0.246
0.500 0.771 0.254
0.500 0.229 0.746
0.000 0.729 0.754
0.500 0.869 0.093
0.000 0.878 0.080
0.000 0.399 0.116
0.790 0.169 0.236
0.210 0.169 0.236
0.710 0.669 0.264
0.290 0.669 0.264
0.500 0.899 0.384
0.500 0.378 0.420
0.000 0.369 0.407
0.000 0.631 0.593
0.500 0.622 0.580
0.500 0.101 0.616
0.710 0.331 0.736
0.290 0.331 0.736
0.790 0.831 0.764
0.210 0.831 0.764
0.000 0.601 0.884
0.000 0.122 0.920
0.500 0.131 0.907
```

Properties
Energy relative to the lowest polymorph listed for this composition (eV/atom): 0.0000
Space group: No. 58
Mass density (Mg/m³): 3.35
D(E_F) (states/eV/cell): 0.649

VASP calculation (GGA+U) on a geometry-optimized Mn4P3O12 structure.

```
Mn4P3O12
1.0
8.687 -0.176 -0.297
4.167 7.625 -0.297
4.016 2.328 8.511
Mn P O
8 6 24
Direct
0.832 0.159 0.793
0.759 0.982 0.521
0.565 0.636 0.566
0.222 0.278 0.512
0.636 0.565 0.066
0.278 0.222 0.012
0.159 0.832 0.293
0.982 0.759 0.021
0.904 0.120 0.137
0.832 0.557 0.697
0.501 0.281 0.636
0.281 0.501 0.136
0.557 0.832 0.197
0.120 0.904 0.637
0.084 0.107 0.609
0.729 0.439 0.706
0.785 0.309 0.152
0.687 0.147 0.672
0.812 0.566 0.856
0.871 0.979 0.293
0.884 0.065 0.010
0.713 0.741 0.604
0.351 0.301 0.781
0.480 0.187 0.539
0.464 0.513 0.030
0.741 0.713 0.104
0.566 0.812 0.356
0.301 0.351 0.281
0.490 0.024 0.104
0.309 0.785 0.652
0.187 0.480 0.039
0.513 0.464 0.530
0.439 0.729 0.206
0.979 0.871 0.793
0.065 0.884 0.510
0.107 0.084 0.109
0.147 0.687 0.172
0.024 0.490 0.604
```

Properties
Energy relative to the lowest polymorph listed for this composition (eV/atom): 0.0067
Space group: No. 9
Mass density (Mg/m³): 2.88

VASP calculation (GGA+U) on a geometry-optimized Mn7P6O24 structure.

```
Mn7P6O24
1.0
6.422 -0.134 -0.027
-1.769 8.289 0.397
-2.983 -2.576 8.400
Mn P O
7 6 24
Direct
0.930 0.230 0.450
0.734 0.206 0.748
0.365 0.442 0.107
0.635 0.558 0.893
0.266 0.794 0.252
0.070 0.770 0.550
0.000 0.000 0.000
0.890 0.384 0.145
0.759 0.830 0.224
0.388 0.214 0.362
0.612 0.786 0.638
0.241 0.170 0.776
0.110 0.616 0.855
0.857 0.220 0.032
0.893 0.375 0.309
0.769 0.010 0.282
0.979 0.790 0.331
0.770 0.799 0.056
0.689 0.463 0.077
0.885 0.482 0.838
0.626 0.215 0.483
0.763 0.760 0.541
0.538 0.710 0.224
0.439 0.361 0.288
0.271 0.046 0.234
0.729 0.954 0.766
0.561 0.639 0.712
0.462 0.290 0.776
0.237 0.240 0.459
0.374 0.785 0.517
0.115 0.518 0.162
0.311 0.537 0.923
0.230 0.201 0.944
0.021 0.210 0.669
0.231 0.990 0.718
0.107 0.625 0.691
0.143 0.780 0.968
```

Properties
Final energy (eV per atom): -7.5342
Space group: No. 2
Mass density (Mg/m³): 3.51
D(E_F) (states/eV/cell): 1.454

VASP calculation (GGA+U) on a geometry-optimized MnP3O9 structure.

```
MnP3O9
1.0
-4.820 4.822 1.751
-4.999 -4.693 -1.583
1.072 -4.004 5.916
Mn P O
2 6 18
Direct
0.582 0.840 0.859
0.418 0.160 0.141
0.739 0.130 0.557
0.261 0.870 0.443
0.109 0.322 0.761
0.891 0.678 0.239
0.520 0.351 0.775
0.480 0.649 0.225
0.276 0.053 0.323
0.724 0.947 0.677
0.667 0.120 0.340
0.333 0.880 0.660
0.961 0.194 0.600
0.039 0.806 0.400
0.176 0.178 0.940
0.824 0.822 0.060
0.564 0.187 0.936
0.436 0.813 0.064
0.622 0.299 0.613
0.378 0.701 0.387
0.291 0.339 0.661
0.709 0.661 0.339
0.419 0.453 0.171
0.580 0.547 0.829
0.977 0.494 0.227
0.023 0.506 0.773
```

Properties
Energy relative to the lowest polymorph listed for this composition (eV/atom): 0.0398
Space group: No. 2
Mass density (Mg/m³): 2.83

VASP calculation (GGA+U) on a geometry-optimized Mn6P7O24 structure.

```
Mn6P7O24
1.0
-3.699 1.451 -3.698
-2.269 -5.318 3.086
-12.212 15.919 18.460
Mn P O
12 14 48
Direct
0.815 0.918 0.899
0.851 0.710 0.314
0.783 0.312 0.448
0.149 0.290 0.814
0.149 0.290 0.686
0.815 0.918 0.601
0.851 0.710 0.186
0.217 0.688 0.552
0.217 0.688 0.948
0.185 0.082 0.101
0.185 0.082 0.399
0.783 0.312 0.052
0.726 0.183 0.169
0.309 0.205 0.975
0.428 0.899 0.250
0.274 0.817 0.831
0.694 0.379 0.607
0.274 0.817 0.669
0.309 0.205 0.525
0.726 0.183 0.331
0.694 0.379 0.893
0.572 0.101 0.750
0.691 0.795 0.025
0.306 0.621 0.393
0.306 0.621 0.107
0.691 0.795 0.475
0.517 0.947 0.796
0.483 0.053 0.204
0.908 0.042 0.335
0.861 0.212 0.750
0.141 0.993 0.952
0.477 0.386 0.641
0.597 0.826 0.527
0.139 0.788 0.250
0.146 0.603 0.807
0.477 0.386 0.859
0.517 0.947 0.704
0.403 0.174 0.027
0.586 0.193 0.121
0.146 0.603 0.693
0.092 0.958 0.835
0.908 0.042 0.165
0.176 0.379 0.528
0.854 0.397 0.307
0.858 0.237 0.624
0.612 0.764 0.250
0.854 0.397 0.193
0.586 0.193 0.379
0.870 0.605 0.907
0.142 0.763 0.124
0.859 0.007 0.452
0.870 0.605 0.593
0.597 0.826 0.973
0.579 0.274 0.945
0.824 0.621 0.028
0.523 0.614 0.141
0.859 0.007 0.048
0.483 0.053 0.296
0.824 0.621 0.472
0.414 0.807 0.621
0.579 0.274 0.555
0.130 0.395 0.407
0.388 0.236 0.750
0.141 0.993 0.548
0.414 0.807 0.879
0.523 0.614 0.359
0.142 0.763 0.376
0.858 0.237 0.876
0.421 0.726 0.445
0.130 0.395 0.093
0.176 0.379 0.972
0.403 0.174 0.473
0.092 0.958 0.665
0.421 0.726 0.055
```

Properties
Final energy (eV per atom): -7.5658
Space group: No. 11
Mass density (Mg/m³): 3.34
D(E_F) (states/eV/cell): 15.312

VASP calculation (GGA+U) on a geometry-optimized Mn3PO6 structure.

```
Mn3PO6
1.0
4.979 0.000 -0.052
0.000 5.280 0.000
-0.020 0.000 7.673
Mn P O
6 2 12
Direct
0.519 0.944 0.772
0.500 0.500 0.000
0.481 0.056 0.228
0.019 0.556 0.272
0.000 0.000 0.500
0.981 0.444 0.728
0.500 0.500 0.500
0.000 0.000 0.000
0.723 0.177 0.955
0.663 0.242 0.594
0.631 0.413 0.294
0.369 0.587 0.706
0.337 0.758 0.406
0.277 0.823 0.045
0.223 0.323 0.455
0.163 0.258 0.094
0.131 0.087 0.794
0.869 0.913 0.206
0.837 0.742 0.906
0.777 0.677 0.545
```

Properties
Energy relative to the lowest polymorph listed for this composition (eV/atom): 0.1875
Space group: No. 14
Mass density (Mg/m³): 4.80
D(E_F) (states/eV/cell): 3.987